Sm2Ho2Ru3: relaxed, PBE.

Summary:
Crystal system: monoclinic
Energy above the lowest structure with this stoichiometry, meV per atom: 23.4
SG: C2/m

Lattice parameters (Å, degrees): 8.4189 4.8644 8.2564 90.00 109.86 90.00
With the nearest neighbours (Å) after each atom.
Fractional coordinates of all 14 atoms:
Sm1 0.1239 0.0000 0.3737  5 Ru 2.90-2.99
Sm2 0.3761 0.5000 0.6263  5 Ru 2.90-2.99
Sm3 0.6239 0.5000 0.3737  5 Ru 2.90-2.99
Sm4 0.8761 0.0000 0.6263  5 Ru 2.90-2.99
Ho1 0.1259 0.5000 0.8768  7 Ru 2.83-2.97
Ho2 0.3741 0.0000 0.1232  7 Ru 2.83-2.97
Ho3 0.6259 0.0000 0.8768  7 Ru 2.83-2.97
Ho4 0.8741 0.5000 0.1232  7 Ru 2.83-2.97
Ru1 0.0000 0.0000 0.0000  2 Sm 2.90, 6 Ho 2.96-2.97
Ru2 0.2470 0.5000 0.2418  4 Ho 2.83-2.96, 4 Sm 2.99
Ru3 0.2530 0.0000 0.7582  4 Ho 2.83-2.96, 4 Sm 2.99
Ru4 0.5000 0.5000 0.0000  2 Sm 2.90, 6 Ho 2.96-2.97
Ru5 0.7470 0.0000 0.2418  4 Ho 2.83-2.96, 4 Sm 2.99
Ru6 0.7530 0.5000 0.7582  4 Ho 2.83-2.96, 4 Sm 2.99

***

Sm3HoRu2: relaxed, PBE.

Summary:
Crystal system: monoclinic
Energy above the lowest structure with this stoichiometry, meV per atom: 56.4
SG: C2/m

Lattice parameters (Å, degrees): 8.3968 8.3968 10.6953 114.55 114.55 29.74
With the nearest neighbours (Å) after each atom.
Fractional coordinates of all 12 atoms:
Sm1 0.0529 0.0529 0.2196  3 Ru 2.87-2.89
Sm2 0.2111 0.2111 0.5954  3 Ru 2.85-2.86
Sm3 0.3330 0.3330 0.9735  3 Ru 2.84-2.85
Sm4 0.6670 0.6670 0.0265  3 Ru 2.84-2.85
Sm5 0.7889 0.7889 0.4046  3 Ru 2.85-2.86
Sm6 0.9471 0.9471 0.7804  3 Ru 2.87-2.89
Ho1 0.4280 0.4280 0.3352  4 Ru 2.75-3.06
Ho2 0.5720 0.5720 0.6648  4 Ru 2.75-3.06
Ru1 0.1384 0.1384 0.8398  2 Ho 2.75, 4 Sm 2.84-2.89
Ru2 0.3835 0.3835 0.5851  2 Ho 2.80-3.06, 5 Sm 2.85-2.87
Ru3 0.6165 0.6165 0.4149  2 Ho 2.80-3.06, 5 Sm 2.85-2.87
Ru4 0.8616 0.8616 0.1602  2 Ho 2.75, 4 Sm 2.84-2.89

***

SmHo5Ru6: relaxed, PBE.

Summary:
Crystal system: orthorhombic
SG: Immm
E_tot, eV per atom: -7.2557

Lattice parameters (Å, degrees): 8.3080 8.3080 8.3080 146.36 131.64 60.20
With the nearest neighbours (Å) after each atom.
Fractional coordinates of all 12 atoms:
Sm1 0.0000 0.0000 0.0000  8 Ru 2.95-2.96
Ho1 0.1682 0.6682 0.5000  8 Ru 2.90-2.97
Ho2 0.3334 0.3334 0.0000  8 Ru 2.93-2.94
Ho3 0.5000 0.0000 0.5000  8 Ru 2.94-2.95
Ho4 0.6666 0.6666 0.0000  8 Ru 2.93-2.94
Ho5 0.8318 0.3318 0.5000  8 Ru 2.90-2.97
Ru1 0.0834 0.8323 0.2511  7 Ho 2.90-2.95, 1 Sm 2.95
Ru2 0.2525 0.5000 0.7525  6 Ho 2.93-2.97, 2 Sm 2.96
Ru3 0.4187 0.1677 0.2511  7 Ho 2.90-2.95, 1 Sm 2.95
Ru4 0.5813 0.8323 0.7489  7 Ho 2.90-2.95, 1 Sm 2.95
Ru5 0.7475 0.5000 0.2475  6 Ho 2.93-2.97, 2 Sm 2.96
Ru6 0.9166 0.1677 0.7489  7 Ho 2.90-2.95, 1 Sm 2.95